1.
This record from Alexandria via LeMat-Bulk describes crystalline Tb8Sb2Ir at its relaxed geometry. The functional is PBE.

Output
D(E_F)   1.00 states/eV per atom
Total magnetization   0.000 μB per atom
Calculated total energy   -120.44 eV per cell
Formation energy without anion corrections   -0.5520 eV/atom

Lattice parameters (Å, degrees): 18.916 4.651 7.283 90.00 98.25 90.00
Space group C2/m (No. 12)
One atom of each set of equivalent atoms:
Tb 0.005 0.000 0.276
Tb 0.096 0.500 0.010
Tb 0.145 0.500 0.531
Tb 0.216 0.000 0.847
Sb 0.182 0.000 0.269
Ir 0.000 0.500 0.500

=====

2.
This record from Alexandria via LeMat-Bulk describes crystalline Tb5PmAl at its relaxed geometry. The functional is PBE.

Output
Formation energy   0.701 eV/atom
D(E_F)   1.44 states/eV per atom
Total magnetization   0.000 μB per atom
Calculated total energy   -53.47 eV per cell

Lattice parameters (Å, degrees): 7.672 11.545 6.136 90.00 90.00 90.00
Space group Imm2 (No. 44)
One atom of each set of equivalent atoms:
Tb 0.000 0.000 0.000
Tb 0.000 0.246 0.525
Tb 0.187 0.500 0.817
Pm 0.000 0.500 0.300
Al 0.000 0.000 0.547

=====

3.
This record from Alexandria via LeMat-Bulk describes crystalline Gd4CoHg2 at its relaxed geometry. The functional is PBE.

Output
Formation energy   -0.030 eV/atom
D(E_F)   1.83 states/eV per atom
Total magnetization   0.125 μB per atom
Calculated total energy   -128.49 eV per cell

Lattice parameters (Å, degrees): 4.856 4.856 17.615 90.00 90.00 90.00
Space group I4/mmm (No. 139)
One atom of each set of equivalent atoms:
Gd 0.000 0.000 0.179
Gd 0.000 0.500 0.000
Co 0.000 0.000 0.500
Hg 0.000 0.000 0.352

=====

4.
This record from Alexandria via LeMat-Bulk describes crystalline BeHg2IrPt at its relaxed geometry. The functional is PBE.

Output
Formation energy   0.848 eV/atom
D(E_F)   0.51 states/eV per atom
Total magnetization   0.000 μB per atom
Calculated total energy   -14.99 eV per cell

Lattice parameters (Å, degrees): 5.165 5.165 4.072 90.00 90.00 90.00
Space group P4/mmm (No. 123)
One atom of each set of equivalent atoms:
Be 0.000 0.000 0.000
Hg 0.000 0.500 0.500
Ir 0.000 0.000 0.500
Pt 0.500 0.500 0.000

=====

5.
This record from Alexandria via LeMat-Bulk describes crystalline LiY2Mn at its relaxed geometry. The functional is PBE.

Output
Formation energy   0.206 eV/atom
D(E_F)   1.00 states/eV per atom
Total magnetization   0.656 μB per atom
Calculated total energy   -46.38 eV per cell

Lattice parameters (Å, degrees): 3.515 5.066 10.634 90.00 90.00 90.00
Space group Imm2 (No. 44)
One atom of each set of equivalent atoms:
Li 0.000 0.000 0.000
Y 0.000 0.000 0.445
Y 0.000 0.500 0.233
Mn 0.000 0.500 0.697

=====

6.
This record from Alexandria via LeMat-Bulk describes crystalline Ac2PuTaN6 at its relaxed geometry. The functional is PBE.

Output
D(E_F)   0.22 states/eV per atom
Total magnetization   0.096 μB per atom
Calculated total energy   -190.67 eV per cell
Formation energy without anion corrections   -1.0982 eV/atom

Lattice parameters (Å, degrees): 5.925 8.374 5.935 90.00 90.00 90.00
Space group Pmmn (No. 59, origin choice 2)
One atom of each set of equivalent atoms:
Ac 0.250 0.000 0.240
Pu 0.250 0.250 0.754
Ta 0.250 0.750 0.735
N 0.001 0.750 0.502
N 0.002 0.250 0.997
N 0.250 0.504 0.766